{"formula": "K2LaP", "functional": "GGA-PBE", "state": "optimized geometry", "rho_g_cm3": 3.16, "e_tot_ev_per_cell": -13.1, "cell": [[4.533, 0.000, 0.000], [0.000, 4.533, 0.000], [0.000, 0.000, 6.351]], "species": ["K", "K", "La", "P"], "frac_coords": [[0.000, 0.500, 0.000], [0.500, 0.000, 0.000], [0.000, 0.000, 0.500], [0.500, 0.500, 0.500]]}